The following is a PBE calculation of a relaxed structure of Mg3Pa3RuN8, from Alexandria. Values from VASP.

Computed properties:
Its total energy is -123.31 eV per cell. The crystal system is trigonal. The calculation puts the uncorrected formation energy at -14.2 eV/f.u.

```
&SYSTEM
  ibrav = 0, nat = 15, ntyp = 4
/
ATOMIC_SPECIES
Mg 24.30 Mg.upf
Pa 231.04 Pa.upf
Ru 101.07 Ru.upf
N 14.01 N.upf
ATOMIC_POSITIONS crystal
Mg 0.000 0.000 0.000
Mg 0.000 0.500 0.000
Mg 0.500 0.500 0.000
Pa 0.500 0.000 0.500
Pa 0.500 0.500 0.500
Pa 0.000 0.500 0.500
Ru 0.000 0.000 0.500
N 0.249 0.498 0.246
N 0.751 0.502 0.754
N 0.765 0.530 0.275
N 0.235 0.470 0.725
N 0.765 0.010 0.275
N 0.235 0.990 0.725
N 0.245 0.010 0.275
N 0.755 0.990 0.725
CELL_PARAMETERS angstrom
6.717 0.000 0.000
-3.359 5.817 -0.021
0.000 -3.860 5.193
```

=====

The following is a PBE calculation of a relaxed structure of MgPa2SbN5, from Alexandria. Values from VASP.

Computed properties:
Its total energy is -146.26 eV per cell. The crystal system is orthorhombic. The calculation puts the uncorrected formation energy at -6.8 eV/f.u.

```
&SYSTEM
  ibrav = 0, nat = 18, ntyp = 4
/
ATOMIC_SPECIES
Mg 24.30 Mg.upf
Pa 231.04 Pa.upf
Sb 121.76 Sb.upf
N 14.01 N.upf
ATOMIC_POSITIONS crystal
Mg 0.780 0.561 0.504
Mg 0.220 0.439 0.004
Pa 0.851 0.703 0.787
Pa 0.111 0.222 0.689
Pa 0.149 0.297 0.287
Pa 0.889 0.778 0.189
Sb 0.533 0.066 0.959
Sb 0.467 0.934 0.459
N 0.377 0.755 0.015
N 0.689 0.377 0.861
N 0.486 0.973 0.764
N 0.277 0.554 0.668
N 0.939 0.878 0.576
N 0.623 0.245 0.515
N 0.311 0.623 0.361
N 0.514 0.027 0.264
N 0.723 0.446 0.168
N 0.061 0.122 0.076
CELL_PARAMETERS angstrom
-1.713 -1.859 2.284
-0.558 -3.549 -5.847
8.706 -5.181 2.314
```

=====

The following is a PBE calculation of a relaxed structure of MgPaSb2N, from Alexandria. Values from VASP.

Computed properties:
Its total energy is -62.96 eV per cell. The crystal system is tetragonal. The calculation puts the uncorrected formation energy at -3.8 eV/f.u.

```
&SYSTEM
  ibrav = 0, nat = 10, ntyp = 4
/
ATOMIC_SPECIES
Mg 24.30 Mg.upf
Pa 231.04 Pa.upf
Sb 121.76 Sb.upf
N 14.01 N.upf
ATOMIC_POSITIONS crystal
Mg 0.500 0.000 0.140
Mg 0.000 0.500 0.860
Pa 0.500 0.000 0.574
Pa 0.000 0.500 0.426
Sb 0.000 0.500 0.685
Sb 0.000 0.500 0.059
Sb 0.500 0.000 0.941
Sb 0.500 0.000 0.315
N 0.000 0.000 0.500
N 0.500 0.500 0.500
CELL_PARAMETERS angstrom
-1.013 -3.012 2.285
-0.647 -2.193 -3.177
15.324 -4.936 0.286
```

=====

The following is a PBE calculation of a relaxed structure of Mg2ScPaN4, from Alexandria. Values from VASP.

Computed properties:
Its total energy is -63.15 eV per cell. The crystal system is monoclinic. The calculation puts the uncorrected formation energy at -10.8 eV/f.u.

```
&SYSTEM
  ibrav = 0, nat = 8, ntyp = 4
/
ATOMIC_SPECIES
Mg 24.30 Mg.upf
Sc 44.96 Sc.upf
Pa 231.04 Pa.upf
N 14.01 N.upf
ATOMIC_POSITIONS crystal
Mg 0.000 0.000 0.000
Mg 0.500 0.000 0.500
Sc 0.500 0.500 0.000
Pa 0.000 0.500 0.500
N 0.000 0.736 0.754
N 0.000 0.264 0.246
N 0.500 0.740 0.252
N 0.500 0.260 0.748
CELL_PARAMETERS angstrom
-1.008 2.676 1.818
-4.909 -0.189 -2.442
-3.445 -3.366 3.044
```

=====

The following is a PBE calculation of a relaxed structure of MgSc2PaN4, from Alexandria. Values from VASP.

Computed properties:
Its total energy is -69.53 eV per cell. The crystal system is monoclinic. The calculation puts the uncorrected formation energy at -12.5 eV/f.u.

```
&SYSTEM
  ibrav = 0, nat = 8, ntyp = 4
/
ATOMIC_SPECIES
Mg 24.30 Mg.upf
Sc 44.96 Sc.upf
Pa 231.04 Pa.upf
N 14.01 N.upf
ATOMIC_POSITIONS crystal
Mg 0.500 0.500 0.000
Sc 0.000 0.000 0.000
Sc 0.500 0.000 0.500
Pa 0.000 0.500 0.500
N 0.000 0.752 0.739
N 0.000 0.248 0.261
N 0.500 0.762 0.244
N 0.500 0.238 0.756
CELL_PARAMETERS angstrom
-1.851 1.643 2.204
-4.590 -2.964 -1.646
-0.315 -4.585 3.154
```

=====

The following is a PBE calculation of a relaxed structure of Mg3Pa3SiN8, from Alexandria. Values from VASP.

Computed properties:
Its total energy is -120.30 eV per cell. The crystal system is trigonal. The calculation puts the uncorrected formation energy at -15.0 eV/f.u.

```
&SYSTEM
  ibrav = 0, nat = 15, ntyp = 4
/
ATOMIC_SPECIES
Mg 24.30 Mg.upf
Pa 231.04 Pa.upf
Si 28.09 Si.upf
N 14.01 N.upf
ATOMIC_POSITIONS crystal
Mg 0.000 0.000 0.000
Mg 0.000 0.500 0.000
Mg 0.500 0.500 0.000
Pa 0.500 0.000 0.500
Pa 0.500 0.500 0.500
Pa 0.000 0.500 0.500
Si 0.000 0.000 0.500
N 0.246 0.492 0.238
N 0.754 0.508 0.762
N 0.783 0.565 0.289
N 0.217 0.435 0.711
N 0.782 0.007 0.289
N 0.218 0.993 0.711
N 0.224 0.007 0.289
N 0.776 0.993 0.711
CELL_PARAMETERS angstrom
-2.009 6.033 -2.017
-2.714 -2.779 5.422
6.123 2.041 0.007
```

=====

The following is a PBE calculation of a relaxed structure of Mg2PaSiN4, from Alexandria. Values from VASP.

Computed properties:
Its total energy is -117.64 eV per cell. The crystal system is orthorhombic. The calculation puts the uncorrected formation energy at -7.4 eV/f.u.

```
&SYSTEM
  ibrav = 0, nat = 16, ntyp = 4
/
ATOMIC_SPECIES
Mg 24.30 Mg.upf
Pa 231.04 Pa.upf
Si 28.09 Si.upf
N 14.01 N.upf
ATOMIC_POSITIONS crystal
Mg 0.374 0.748 0.536
Mg 0.626 0.252 0.036
Mg 0.626 0.252 0.464
Mg 0.374 0.748 0.964
Pa 0.094 0.187 0.750
Pa 0.906 0.813 0.250
Si 0.829 0.658 0.750
Si 0.171 0.342 0.250
N 0.277 0.553 0.129
N 0.723 0.447 0.629
N 0.723 0.447 0.871
N 0.277 0.553 0.371
N 0.000 0.000 0.500
N 0.000 0.000 0.000
N 0.413 0.826 0.750
N 0.587 0.174 0.250
CELL_PARAMETERS angstrom
-1.500 -2.679 0.986
5.374 -1.363 -0.801
2.137 2.509 10.071
```

=====

The following is a PBE calculation of a relaxed structure of Sm3MgPa3N8, from Alexandria. Values from VASP.

Computed properties:
Its total energy is -130.78 eV per cell. The crystal system is trigonal. The calculation puts the uncorrected formation energy at -19.9 eV/f.u.

```
&SYSTEM
  ibrav = 0, nat = 15, ntyp = 4
/
ATOMIC_SPECIES
Sm 150.36 Sm.upf
Mg 24.30 Mg.upf
Pa 231.04 Pa.upf
N 14.01 N.upf
ATOMIC_POSITIONS crystal
Sm 0.000 0.000 0.000
Sm 0.000 0.500 0.000
Sm 0.500 0.500 0.000
Mg 0.000 0.000 0.500
Pa 0.500 0.000 0.500
Pa 0.500 0.500 0.500
Pa 0.000 0.500 0.500
N 0.255 0.510 0.265
N 0.745 0.490 0.735
N 0.764 0.528 0.292
N 0.236 0.472 0.708
N 0.764 0.028 0.292
N 0.236 0.972 0.708
N 0.264 0.028 0.292
N 0.736 0.972 0.708
CELL_PARAMETERS angstrom
6.938 0.000 0.000
-3.469 6.008 -0.021
0.000 -3.986 5.734
```

=====

The following is a PBE calculation of a relaxed structure of Sm3MgPa2N6, from Alexandria. Values from VASP.

Computed properties:
Its total energy is -102.06 eV per cell. The crystal system is monoclinic. The calculation puts the uncorrected formation energy at -17.4 eV/f.u.

```
&SYSTEM
  ibrav = 0, nat = 12, ntyp = 4
/
ATOMIC_SPECIES
Sm 150.36 Sm.upf
Mg 24.30 Mg.upf
Pa 231.04 Pa.upf
N 14.01 N.upf
ATOMIC_POSITIONS crystal
Sm 0.164 0.836 0.500
Sm 0.836 0.164 0.500
Sm 0.500 0.500 0.500
Mg 0.000 0.000 0.000
Pa 0.333 0.667 0.000
Pa 0.667 0.333 0.000
N 0.925 0.581 0.775
N 0.732 0.732 0.225
N 0.075 0.419 0.225
N 0.581 0.925 0.775
N 0.268 0.268 0.775
N 0.419 0.075 0.225
CELL_PARAMETERS angstrom
6.035 0.000 0.002
-3.016 5.228 0.002
-1.006 -1.742 5.784
```

=====

The following is a PBE calculation of a relaxed structure of SmMg2PaN4, from Alexandria. Values from VASP.

Computed properties:
Its total energy is -60.40 eV per cell. The crystal system is monoclinic. The calculation puts the uncorrected formation energy at -9.7 eV/f.u.

```
&SYSTEM
  ibrav = 0, nat = 8, ntyp = 4
/
ATOMIC_SPECIES
Sm 150.36 Sm.upf
Mg 24.30 Mg.upf
Pa 231.04 Pa.upf
N 14.01 N.upf
ATOMIC_POSITIONS crystal
Sm 0.500 0.500 0.000
Mg 0.000 0.000 0.000
Mg 0.500 0.000 0.500
Pa 0.000 0.500 0.500
N 0.000 0.741 0.732
N 0.000 0.259 0.268
N 0.500 0.744 0.266
N 0.500 0.256 0.734
CELL_PARAMETERS angstrom
-1.600 2.646 1.649
-4.795 -1.285 -2.591
-3.136 -3.939 3.276
```